# PaAs2RhO8, optimized geometry, DFT PBE
# E_form (uncorrected) ... -1445 meV/atom
# Total magnetization ... 0.00 Bohr magnetons per cell
# E_tot ... -6.930 eV/atom
data_PaAs2RhO8
_chemical_formula_sum 'Pa1 As2 Rh1 O8'
_symmetry_space_group_name_H-M 'P -3 m 1'
_symmetry_Int_Tables_number 164
_symmetry_space_group_name_Hall '-P 3 2"'
_cell_length_a 5.9175
_cell_length_b 5.9175
_cell_length_c 6.1050
_cell_angle_alpha 90.00
_cell_angle_beta 90.00
_cell_angle_gamma 120.00
loop_
_atom_site_label
_atom_site_fract_x
_atom_site_fract_y
_atom_site_fract_z
Pa1 0.0000 0.0000 0.0000
As1 0.3333 0.6667 0.2286
Rh1 0.0000 0.0000 0.5000
O1 0.1470 0.2940 0.2719
O2 0.3333 0.6667 0.9528



# PaAsRhO6, optimized geometry, DFT PBE
# E_form (uncorrected) ... -1677 meV/atom
# Total magnetization ... 0.00 Bohr magnetons per cell
# E_tot ... -7.372 eV/atom
data_PaAsRhO6
_chemical_formula_sum 'Pa2 As2 Rh2 O12'
_symmetry_space_group_name_H-M 'P -3 1 c'
_symmetry_Int_Tables_number 163
_symmetry_space_group_name_Hall '-P 3 2c'
_cell_length_a 5.4051
_cell_length_b 5.4051
_cell_length_c 8.7032
_cell_angle_alpha 90.00
_cell_angle_beta 90.00
_cell_angle_gamma 120.00
loop_
_atom_site_label
_atom_site_fract_x
_atom_site_fract_y
_atom_site_fract_z
Pa1 0.3333 0.6667 0.2500
As1 0.3333 0.6667 0.7500
Rh1 0.0000 0.0000 0.0000
O1 0.0341 0.3558 0.6279



Number 1: volume 185.1 Å³ per cell. Number 2: volume 220.2 Å³ per cell.